Entry 1:
DFT (GGA-PBE) results for Tb3ScTe after structural relaxation.

Values from the calculation:
* raw formation energy: -7.920 kcal/mol of atoms

Cell and atoms, written as CIF:
```
data_Tb3ScTe
_cell_length_a 5.671
_cell_length_b 6.546
_cell_length_c 9.055
_cell_angle_alpha 84.31
_cell_angle_beta 90.00
_cell_angle_gamma 115.67
_space_group_name_H-M_alt 'P 1'
_space_group_IT_number 1
loop_
_space_group_symop_operation_xyz
'x,y,z'
loop_
_atom_site_label
_atom_site_fract_x
_atom_site_fract_y
_atom_site_fract_z
Tb1 0.626 0.253 0.855
Tb2 0.374 0.747 0.145
Tb3 0.065 0.131 0.157
Te1 0.773 0.546 0.137
Te2 0.227 0.454 0.863
Tb4 0.935 0.869 0.843
Sc1 0.426 0.852 0.645
Tb5 0.140 0.279 0.546
Sc2 0.574 0.148 0.355
Tb6 0.860 0.721 0.454
```

=====

Entry 2:
DFT (GGA-PBE) results for ScCuGe after structural relaxation.

Values from the calculation:
* electronic total energy: -0.194 hartree per atom

Cell and atoms, written as CIF:
```
data_ScCuGe
_cell_length_a 3.141
_cell_length_b 3.141
_cell_length_c 5.573
_cell_angle_alpha 106.37
_cell_angle_beta 106.37
_cell_angle_gamma 90.00
_space_group_name_H-M_alt 'P 1'
_space_group_IT_number 1
loop_
_space_group_symop_operation_xyz
'x,y,z'
loop_
_atom_site_label
_atom_site_fract_x
_atom_site_fract_y
_atom_site_fract_z
Cu1 0.938 0.938 0.875
Sc1 0.611 0.611 0.221
Ge1 0.302 0.302 0.604
```

=====

Entry 3:
DFT (GGA-PBE) results for RbGeSe3 after structural relaxation.

Values from the calculation:
* raw formation energy: 26.775 kcal/mol of atoms

Cell and atoms, written as CIF:
```
data_RbGeSe3
_cell_length_a 5.937
_cell_length_b 5.937
_cell_length_c 5.937
_cell_angle_alpha 90.00
_cell_angle_beta 90.00
_cell_angle_gamma 90.00
_space_group_name_H-M_alt 'P 1'
_space_group_IT_number 1
loop_
_space_group_symop_operation_xyz
'x,y,z'
loop_
_atom_site_label
_atom_site_fract_x
_atom_site_fract_y
_atom_site_fract_z
Ge1 0.500 0.500 0.500
Rb1 0.000 0.000 0.000
Se1 0.000 0.000 0.500
Se2 0.500 0.000 0.000
Se3 0.000 0.500 0.000
```

=====

Entry 4:
DFT (GGA-PBE) results for AlCr2Os after structural relaxation.

Values from the calculation:
* electronic total energy: -0.310 hartree per atom

Cell and atoms, written as CIF:
```
data_AlCr2Os
_cell_length_a 8.674
_cell_length_b 8.674
_cell_length_c 8.674
_cell_angle_alpha 17.79
_cell_angle_beta 17.79
_cell_angle_gamma 17.79
_space_group_name_H-M_alt 'P 1'
_space_group_IT_number 1
loop_
_space_group_symop_operation_xyz
'x,y,z'
loop_
_atom_site_label
_atom_site_fract_x
_atom_site_fract_y
_atom_site_fract_z
Cr1 0.250 0.250 0.250
Os1 0.503 0.503 0.503
Cr2 0.998 0.998 0.998
Al1 0.748 0.748 0.748
```

=====

Entry 5:
DFT (GGA-PBE) results for Ca2PRuBr after structural relaxation.

Values from the calculation:
* raw formation energy: 8.548 kcal/mol of atoms

Cell and atoms, written as CIF:
```
data_Ca2PRuBr
_cell_length_a 5.482
_cell_length_b 5.100
_cell_length_c 5.482
_cell_angle_alpha 90.00
_cell_angle_beta 90.00
_cell_angle_gamma 90.00
_space_group_name_H-M_alt 'P 1'
_space_group_IT_number 1
loop_
_space_group_symop_operation_xyz
'x,y,z'
loop_
_atom_site_label
_atom_site_fract_x
_atom_site_fract_y
_atom_site_fract_z
Ru1 0.500 0.500 0.500
P1 0.000 0.000 0.000
Ca1 0.000 0.000 0.500
Br1 0.000 0.500 0.000
Ca2 0.500 0.000 0.000
```

=====

Entry 6:
DFT (GGA-PBE) results for Sc2Ni after structural relaxation.

Values from the calculation:
* electronic total energy: -0.204 hartree per atom

Cell and atoms, written as CIF:
```
data_Sc2Ni
_cell_length_a 5.479
_cell_length_b 5.479
_cell_length_c 5.479
_cell_angle_alpha 60.00
_cell_angle_beta 60.00
_cell_angle_gamma 60.00
_space_group_name_H-M_alt 'P 1'
_space_group_IT_number 1
loop_
_space_group_symop_operation_xyz
'x,y,z'
loop_
_atom_site_label
_atom_site_fract_x
_atom_site_fract_y
_atom_site_fract_z
Ni1 0.250 0.250 0.250
Sc1 0.625 0.125 0.625
Ni2 0.000 0.000 0.000
Sc2 0.625 0.625 0.625
Sc3 0.625 0.625 0.125
Sc4 0.125 0.625 0.625
```

=====

Entry 7:
DFT (GGA-PBE) results for Cu2Ag2Pd7 after structural relaxation.

Values from the calculation:
* electronic total energy: -0.164 hartree per atom

Cell and atoms, written as CIF:
```
data_Cu2Ag2Pd7
_cell_length_a 7.182
_cell_length_b 5.473
_cell_length_c 5.473
_cell_angle_alpha 122.78
_cell_angle_beta 95.83
_cell_angle_gamma 95.83
_space_group_name_H-M_alt 'P 1'
_space_group_IT_number 1
loop_
_space_group_symop_operation_xyz
'x,y,z'
loop_
_atom_site_label
_atom_site_fract_x
_atom_site_fract_y
_atom_site_fract_z
Cu1 0.500 0.740 0.260
Pd1 0.000 0.000 0.000
Pd2 0.175 0.430 0.972
Pd3 0.175 0.972 0.430
Cu2 0.500 0.260 0.740
Pd4 0.825 0.570 0.028
Ag1 0.796 0.415 0.415
Pd5 0.405 0.190 0.190
Pd6 0.595 0.810 0.810
Pd7 0.825 0.028 0.570
Ag2 0.204 0.585 0.585
```

=====

Entry 8:
DFT (GGA-PBE) results for BaZn2Re after structural relaxation.

Values from the calculation:
* electronic total energy: -0.129 hartree per atom

Cell and atoms, written as CIF:
```
data_BaZn2Re
_cell_length_a 6.222
_cell_length_b 6.222
_cell_length_c 6.222
_cell_angle_alpha 151.32
_cell_angle_beta 125.12
_cell_angle_gamma 63.09
_space_group_name_H-M_alt 'P 1'
_space_group_IT_number 1
loop_
_space_group_symop_operation_xyz
'x,y,z'
loop_
_atom_site_label
_atom_site_fract_x
_atom_site_fract_y
_atom_site_fract_z
Zn1 0.447 0.447 0.000
Zn2 0.053 0.053 0.000
Ba1 0.750 0.250 0.500
Re1 0.250 0.750 0.500
```

=====

Entry 9:
DFT (GGA-PBE) results for KRbAg after structural relaxation.

Values from the calculation:
* electronic total energy: -0.060 hartree per atom

Cell and atoms, written as CIF:
```
data_KRbAg
_cell_length_a 4.910
_cell_length_b 7.221
_cell_length_c 9.316
_cell_angle_alpha 101.67
_cell_angle_beta 105.28
_cell_angle_gamma 90.00
_space_group_name_H-M_alt 'P 1'
_space_group_IT_number 1
loop_
_space_group_symop_operation_xyz
'x,y,z'
loop_
_atom_site_label
_atom_site_fract_x
_atom_site_fract_y
_atom_site_fract_z
Rb1 0.843 0.676 0.686
Rb2 0.157 0.324 0.314
K1 0.590 0.793 0.181
Ag1 0.235 0.895 0.470
Ag2 0.765 0.105 0.530
K2 0.410 0.207 0.819
```

=====

Entry 10:
DFT (GGA-PBE) results for Ba2SbIr after structural relaxation.

Values from the calculation:
* raw formation energy: 1.312 kcal/mol of atoms

Cell and atoms, written as CIF:
```
data_Ba2SbIr
_cell_length_a 3.661
_cell_length_b 5.744
_cell_length_c 6.765
_cell_angle_alpha 90.00
_cell_angle_beta 90.00
_cell_angle_gamma 90.00
_space_group_name_H-M_alt 'P 1'
_space_group_IT_number 1
loop_
_space_group_symop_operation_xyz
'x,y,z'
loop_
_atom_site_label
_atom_site_fract_x
_atom_site_fract_y
_atom_site_fract_z
Sb1 0.500 0.500 0.876
Ir1 0.000 0.000 0.375
Ba1 0.500 0.500 0.376
Ba2 0.000 0.000 0.872
```

=====

Entry 11:
DFT (GGA-PBE) results for LiTl2In after structural relaxation.

Values from the calculation:
* electronic total energy: -0.089 hartree per atom

Cell and atoms, written as CIF:
```
data_LiTl2In
_cell_length_a 5.683
_cell_length_b 5.683
_cell_length_c 5.683
_cell_angle_alpha 130.63
_cell_angle_beta 130.63
_cell_angle_gamma 72.40
_space_group_name_H-M_alt 'P 1'
_space_group_IT_number 1
loop_
_space_group_symop_operation_xyz
'x,y,z'
loop_
_atom_site_label
_atom_site_fract_x
_atom_site_fract_y
_atom_site_fract_z
Tl1 0.000 0.000 0.000
Li1 0.750 0.250 0.500
In1 0.250 0.750 0.500
Tl2 0.500 0.500 0.000
```

=====

Entry 12:
DFT (GGA-PBE) results for La2ScTaW after structural relaxation.

Values from the calculation:
* electronic total energy: -0.236 hartree per atom

Cell and atoms, written as CIF:
```
data_La2ScTaW
_cell_length_a 5.482
_cell_length_b 4.697
_cell_length_c 5.482
_cell_angle_alpha 90.00
_cell_angle_beta 90.00
_cell_angle_gamma 90.00
_space_group_name_H-M_alt 'P 1'
_space_group_IT_number 1
loop_
_space_group_symop_operation_xyz
'x,y,z'
loop_
_atom_site_label
_atom_site_fract_x
_atom_site_fract_y
_atom_site_fract_z
La1 0.000 0.000 0.500
Ta1 0.500 0.500 0.500
Sc1 0.000 0.000 0.000
La2 0.500 0.000 0.000
W1 0.000 0.500 0.000
```

=====

Entry 13:
DFT (GGA-PBE) results for MgZr2Br after structural relaxation.

Values from the calculation:
* raw formation energy: 1.148 kcal/mol of atoms

Cell and atoms, written as CIF:
```
data_MgZr2Br
_cell_length_a 3.295
_cell_length_b 5.305
_cell_length_c 5.284
_cell_angle_alpha 90.00
_cell_angle_beta 90.00
_cell_angle_gamma 90.00
_space_group_name_H-M_alt 'P 1'
_space_group_IT_number 1
loop_
_space_group_symop_operation_xyz
'x,y,z'
loop_
_atom_site_label
_atom_site_fract_x
_atom_site_fract_y
_atom_site_fract_z
Zr1 0.500 0.500 0.000
Br1 0.500 0.000 0.500
Mg1 0.000 0.500 0.500
Zr2 0.000 0.000 0.000
```

=====

Entry 14:
DFT (GGA-PBE) results for Ba12Ag3Pt5 after structural relaxation.

Values from the calculation:
* electronic total energy: -0.127 hartree per atom

Cell and atoms, written as CIF:
```
data_Ba12Ag3Pt5
_cell_length_a 16.790
_cell_length_b 16.790
_cell_length_c 16.790
_cell_angle_alpha 109.47
_cell_angle_beta 109.47
_cell_angle_gamma 109.47
_space_group_name_H-M_alt 'P 1'
_space_group_IT_number 1
loop_
_space_group_symop_operation_xyz
'x,y,z'
loop_
_atom_site_label
_atom_site_fract_x
_atom_site_fract_y
_atom_site_fract_z
Pt1 0.250 0.375 0.625
Ba1 0.323 0.790 0.412
Ba2 0.588 0.878 0.411
Ba3 0.210 0.533 0.622
Ag1 0.625 0.375 0.750
Ba4 0.911 0.088 0.878
Ag2 0.125 0.250 0.875
Pt2 0.000 0.500 0.000
Pt3 0.500 0.500 0.500
Ba5 0.467 0.677 0.089
Pt4 0.000 0.000 0.000
Pt5 0.000 0.500 0.500
Pt6 0.750 0.625 0.375
Ba6 0.177 0.088 0.710
Pt7 0.000 0.000 0.500
Ba7 0.411 0.033 0.323
Ba8 0.823 0.912 0.290
Ba9 0.878 0.290 0.467
Pt8 0.625 0.875 0.250
Pt9 0.375 0.125 0.750
Pt10 0.750 0.125 0.875
Ba10 0.411 0.378 0.588
Ba11 0.790 0.467 0.378
Ag3 0.625 0.250 0.375
Ag4 0.375 0.750 0.625
Ba12 0.710 0.122 0.033
Ba13 0.589 0.622 0.412
Ba14 0.088 0.177 0.210
Ba15 0.290 0.412 0.823
Ag5 0.750 0.375 0.125
Ba16 0.378 0.411 0.088
Ag6 0.875 0.750 0.125
Ba17 0.412 0.122 0.589
Pt11 0.875 0.250 0.625
Ba18 0.677 0.467 0.589
Pt12 0.875 0.625 0.750
Ba19 0.122 0.710 0.533
Ba20 0.823 0.911 0.033
Ag7 0.875 0.125 0.250
Ba21 0.378 0.967 0.790
Ba22 0.967 0.378 0.290
Ba23 0.912 0.823 0.790
Ba24 0.911 0.823 0.533
Ag8 0.250 0.625 0.875
Ag9 0.375 0.625 0.250
Ba25 0.089 0.177 0.467
Ba26 0.533 0.210 0.122
Ba27 0.878 0.588 0.911
Ba28 0.033 0.622 0.710
Pt13 0.500 0.000 0.000
Ag10 0.250 0.125 0.375
Ba29 0.122 0.412 0.089
Pt14 0.500 0.500 0.000
Ba30 0.088 0.911 0.378
Ba31 0.912 0.089 0.622
Pt15 0.125 0.375 0.250
Pt16 0.375 0.250 0.125
Ba32 0.210 0.677 0.088
Ba33 0.033 0.411 0.823
Ba34 0.589 0.967 0.677
Pt17 0.500 0.000 0.500
Ba35 0.533 0.323 0.911
Ba36 0.710 0.588 0.177
Ba37 0.412 0.290 0.323
Ba38 0.290 0.878 0.967
Ba39 0.323 0.533 0.411
Pt18 0.250 0.875 0.125
Pt19 0.625 0.750 0.875
Ba40 0.622 0.589 0.912
Ba41 0.089 0.912 0.122
Ba42 0.177 0.089 0.967
Ba43 0.790 0.323 0.912
Ba44 0.588 0.710 0.677
Ba45 0.677 0.210 0.588
Ag11 0.125 0.875 0.750
Pt20 0.125 0.750 0.375
Ag12 0.750 0.875 0.625
Ba46 0.622 0.033 0.210
Ba47 0.967 0.589 0.177
Ba48 0.467 0.790 0.878
```

=====

Entry 15:
DFT (GGA-PBE) results for La3Hg4Pb2 after structural relaxation.

Values from the calculation:
* electronic total energy: -0.113 hartree per atom

Cell and atoms, written as CIF:
```
data_La3Hg4Pb2
_cell_length_a 5.066
_cell_length_b 6.419
_cell_length_c 9.634
_cell_angle_alpha 112.06
_cell_angle_beta 90.00
_cell_angle_gamma 113.24
_space_group_name_H-M_alt 'P 1'
_space_group_IT_number 1
loop_
_space_group_symop_operation_xyz
'x,y,z'
loop_
_atom_site_label
_atom_site_fract_x
_atom_site_fract_y
_atom_site_fract_z
Pb1 0.411 0.822 0.739
La1 0.000 0.000 0.000
Hg1 0.099 0.198 0.446
La2 0.325 0.650 0.328
Pb2 0.589 0.178 0.261
Hg2 0.701 0.402 0.025
Hg3 0.901 0.802 0.554
Hg4 0.299 0.598 0.975
La3 0.675 0.350 0.672
```

=====

Entry 16:
DFT (GGA-PBE) results for In2RuBr after structural relaxation.

Values from the calculation:
* raw formation energy: 1.204 kcal/mol of atoms

Cell and atoms, written as CIF:
```
data_In2RuBr
_cell_length_a 8.559
_cell_length_b 8.559
_cell_length_c 8.559
_cell_angle_alpha 157.20
_cell_angle_beta 155.95
_cell_angle_gamma 33.38
_space_group_name_H-M_alt 'P 1'
_space_group_IT_number 1
loop_
_space_group_symop_operation_xyz
'x,y,z'
loop_
_atom_site_label
_atom_site_fract_x
_atom_site_fract_y
_atom_site_fract_z
Ru1 0.451 0.451 0.000
Br1 0.706 0.206 0.500
In1 0.323 0.823 0.500
In2 0.019 0.019 0.000
```

=====

Entry 17:
DFT (GGA-PBE) results for Na3AsBr6 after structural relaxation.

Values from the calculation:
* raw formation energy: -24.736 kcal/mol of atoms

Cell and atoms, written as CIF:
```
data_Na3AsBr6
_cell_length_a 7.187
_cell_length_b 7.685
_cell_length_c 10.669
_cell_angle_alpha 90.00
_cell_angle_beta 89.18
_cell_angle_gamma 90.00
_space_group_name_H-M_alt 'P 1'
_space_group_IT_number 1
loop_
_space_group_symop_operation_xyz
'x,y,z'
loop_
_atom_site_label
_atom_site_fract_x
_atom_site_fract_y
_atom_site_fract_z
Br1 0.803 0.679 0.561
Br2 0.140 0.061 0.768
Na1 0.469 0.086 0.233
Na2 0.031 0.586 0.267
Br3 0.697 0.179 0.939
As1 0.500 0.500 0.500
Br4 0.360 0.561 0.732
Na3 0.500 0.500 0.000
Na4 0.531 0.914 0.767
Br5 0.640 0.439 0.268
Na5 0.000 0.000 0.500
Br6 0.833 0.708 0.920
Br7 0.167 0.292 0.080
Br8 0.667 0.208 0.580
Na6 0.969 0.414 0.733
Br9 0.860 0.939 0.232
Br10 0.333 0.792 0.420
Br11 0.303 0.821 0.061
As2 0.000 0.000 0.000
Br12 0.197 0.321 0.439
```

=====

Entry 18:
DFT (GGA-PBE) results for TbHfSn2 after structural relaxation.

Values from the calculation:
* electronic total energy: -0.221 hartree per atom

Cell and atoms, written as CIF:
```
data_TbHfSn2
_cell_length_a 4.389
_cell_length_b 4.687
_cell_length_c 4.687
_cell_angle_alpha 90.00
_cell_angle_beta 90.00
_cell_angle_gamma 90.00
_space_group_name_H-M_alt 'P 1'
_space_group_IT_number 1
loop_
_space_group_symop_operation_xyz
'x,y,z'
loop_
_atom_site_label
_atom_site_fract_x
_atom_site_fract_y
_atom_site_fract_z
Sn1 0.000 0.000 0.500
Sn2 0.000 0.500 0.000
Hf1 0.500 0.000 0.000
Tb1 0.500 0.500 0.500
```

=====

Entry 19:
DFT (GGA-PBE) results for Cs2PaPt2O6 after structural relaxation.

Values from the calculation:
* raw formation energy: -34.847 kcal/mol of atoms

Cell and atoms, written as CIF:
```
data_Cs2PaPt2O6
_cell_length_a 6.381
_cell_length_b 6.381
_cell_length_c 7.537
_cell_angle_alpha 64.96
_cell_angle_beta 64.96
_cell_angle_gamma 60.00
_space_group_name_H-M_alt 'P 1'
_space_group_IT_number 1
loop_
_space_group_symop_operation_xyz
'x,y,z'
loop_
_atom_site_label
_atom_site_fract_x
_atom_site_fract_y
_atom_site_fract_z
O1 0.224 0.224 0.796
Cs1 0.788 0.788 0.637
O2 0.756 0.224 0.796
O3 0.776 0.776 0.204
Pa1 0.000 0.000 0.000
O4 0.244 0.776 0.204
O5 0.224 0.756 0.796
O6 0.776 0.244 0.204
Cs2 0.212 0.212 0.363
Pt1 0.599 0.599 0.202
Pt2 0.401 0.401 0.798
```

=====

no.,V (Å³/f.u.)
1,151
2,50
3,209
4,53
5,153
6,58
7,177
8,94
9,156
10,142
11,103
12,141
13,92
14,911
15,263
16,99
17,295
18,96
19,232